First-principles (PBE) data for an optimized crystal structure of TiNiSbAs2, as listed in Alexandria via LeMat-Bulk.

Cell: 4.863 4.599 4.863 Å, 90.00 90.00 90.00°
Fractional coordinates of all 5 atoms:
As 0.500 0.000 0.000
As 0.000 0.000 0.500
Ni 0.000 0.500 0.000
Ti 0.000 0.000 0.000
Sb 0.500 0.500 0.500

Calculated values
Density of states at the Fermi level, states/eV/cell: 5.29
Uncorrected formation energy, meV per atom: 423
V, Å³ per cell: 109
Total magnetization, μB/cell: 0.0
Space-group type: No. 123



First-principles (PBE) data for an optimized crystal structure of GeAsW, as listed in Alexandria via LeMat-Bulk.

Cell: 4.948 4.948 7.728 Å, 61.84 61.84 39.07°
Fractional coordinates of all 6 atoms:
W 0.154 0.154 0.800
W 0.846 0.846 0.200
As 0.856 0.856 0.534
As 0.144 0.144 0.466
Ge 0.604 0.604 0.104
Ge 0.396 0.396 0.896

Calculated values
Density of states at the Fermi level, states/eV/cell: 0.95
E_form, eV per atom: -0.03
V, Å³ per cell: 103
Total magnetization, μB/cell: 0.0
Space-group type: No. 12



First-principles (PBE) data for an optimized crystal structure of TlTc2Ru, as listed in Alexandria via LeMat-Bulk.

Cell: 9.245 9.245 9.245 Å, 17.95 17.95 17.95°
Fractional coordinates of all 4 atoms:
Tc 0.000 0.000 0.000
Tc 0.257 0.257 0.257
Ru 0.743 0.743 0.743
Tl 0.499 0.499 0.499

Calculated values
Density of states at the Fermi level, states/eV/cell: 4.48
E_form, eV per atom: 0.46
V, Å³ per cell: 66
Energy relative to the lowest polymorph listed for this composition, meV per atom: 62
Total magnetization, μB/cell: 0.0
Space-group type: No. 160



First-principles (PBE) data for an optimized crystal structure of MnAgC2, as listed in Alexandria via LeMat-Bulk.

Cell: 4.705 4.705 5.610 Å, 65.21 65.21 90.00°
Fractional coordinates of all 8 atoms:
Ag 0.000 0.000 0.000
Ag 0.750 0.250 0.500
C 0.540 0.125 0.250
C 0.375 0.460 0.750
C 0.875 0.790 0.750
C 0.210 0.625 0.250
Mn 0.500 0.500 0.000
Mn 0.250 0.750 0.500

Calculated values
Density of states at the Fermi level, states/eV/cell: 1.97
E_form, eV per atom: 1.07
V, Å³ per cell: 100
Energy relative to the lowest polymorph listed for this composition, meV per atom: 0
Total magnetization, μB/cell: 0.0
Space-group type: No. 122



First-principles (PBE) data for an optimized crystal structure of TbDy3Cu4, as listed in Alexandria via LeMat-Bulk.

Cell: 4.917 6.917 9.836 Å, 90.00 90.00 90.00°
Fractional coordinates of all 16 atoms:
Dy 0.500 0.500 0.750
Dy 0.000 0.000 0.000
Dy 0.500 0.000 0.750
Dy 0.000 0.000 0.500
Dy 0.500 0.000 0.250
Dy 0.500 0.500 0.250
Cu 0.000 0.751 0.750
Cu 0.500 0.249 0.000
Cu 0.000 0.249 0.250
Cu 0.500 0.751 0.500
Cu 0.000 0.751 0.250
Cu 0.500 0.751 0.000
Cu 0.500 0.249 0.500
Cu 0.000 0.249 0.750
Tb 0.000 0.500 0.500
Tb 0.000 0.500 0.000

Calculated values
Density of states at the Fermi level, states/eV/cell: 9.62
E_form, eV per atom: -0.25
V, Å³ per cell: 335
Total magnetization, μB/cell: 0.0
Space-group type: No. 123



First-principles (PBE) data for an optimized crystal structure of Hf12Ir5Au3, as listed in Alexandria via LeMat-Bulk.

Cell: 13.632 13.632 13.632 Å, 109.47 109.47 109.47°
Fractional coordinates of all 80 atoms:
Hf 0.831 0.914 0.048
Hf 0.217 0.669 0.083
Hf 0.669 0.217 0.583
Hf 0.414 0.367 0.583
Hf 0.548 0.217 0.133
Hf 0.633 0.586 0.917
Hf 0.417 0.133 0.586
Hf 0.586 0.952 0.669
Hf 0.133 0.417 0.086
Hf 0.914 0.083 0.867
Hf 0.583 0.717 0.669
Hf 0.331 0.548 0.414
Hf 0.452 0.669 0.086
Hf 0.717 0.133 0.048
Hf 0.217 0.548 0.633
Hf 0.452 0.783 0.867
Hf 0.086 0.169 0.452
Hf 0.831 0.917 0.283
Hf 0.414 0.048 0.331
Hf 0.331 0.783 0.417
Hf 0.586 0.633 0.417
Hf 0.083 0.169 0.217
Hf 0.086 0.917 0.133
Hf 0.583 0.867 0.414
Hf 0.717 0.583 0.169
Hf 0.169 0.083 0.717
Hf 0.952 0.586 0.169
Hf 0.783 0.331 0.917
Hf 0.367 0.414 0.083
Hf 0.417 0.283 0.331
Hf 0.083 0.914 0.367
Hf 0.952 0.367 0.283
Hf 0.867 0.583 0.914
Hf 0.283 0.867 0.952
Hf 0.633 0.048 0.217
Hf 0.917 0.086 0.633
Hf 0.669 0.452 0.586
Hf 0.048 0.414 0.831
Hf 0.917 0.831 0.783
Hf 0.169 0.086 0.952
Hf 0.867 0.283 0.452
Hf 0.914 0.831 0.548
Hf 0.283 0.417 0.831
Hf 0.367 0.952 0.783
Hf 0.048 0.633 0.717
Hf 0.133 0.717 0.548
Hf 0.548 0.331 0.914
Hf 0.783 0.452 0.367
Au 0.375 0.750 0.625
Au 0.625 0.250 0.375
Au 0.125 0.875 0.750
Au 0.375 0.625 0.250
Au 0.250 0.625 0.875
Au 0.750 0.875 0.625
Au 0.125 0.250 0.875
Au 0.750 0.375 0.125
Au 0.875 0.125 0.250
Au 0.250 0.125 0.375
Au 0.875 0.750 0.125
Au 0.625 0.375 0.750
Ir 0.250 0.375 0.625
Ir 0.000 0.000 0.500
Ir 0.000 0.500 0.000
Ir 0.000 0.000 0.000
Ir 0.375 0.125 0.750
Ir 0.875 0.250 0.625
Ir 0.625 0.875 0.250
Ir 0.375 0.250 0.125
Ir 0.500 0.000 0.000
Ir 0.000 0.500 0.500
Ir 0.125 0.750 0.375
Ir 0.500 0.500 0.000
Ir 0.625 0.750 0.875
Ir 0.500 0.500 0.500
Ir 0.250 0.875 0.125
Ir 0.750 0.625 0.375
Ir 0.750 0.125 0.875
Ir 0.125 0.375 0.250
Ir 0.875 0.625 0.750
Ir 0.500 0.000 0.500

Calculated values
Density of states at the Fermi level, states/eV/cell: 90.27
E_form, eV per atom: -0.04
V, Å³ per cell: 1950
Total magnetization, μB/cell: 0.0
Space-group type: No. 230



What is the V in the sixth record? 1950 Å³ per cell